i.
First-principles (PBE-GGA) data for a relaxed structure of CeMg2In, as listed in Alexandria via LeMat-Bulk.

SG	No. 123
D(E_F)	6.015	states/eV per cell

Cell: 3.269 3.269 9.421 Å, 90.00 90.00 90.00°
Fractional coordinates of all 4 atoms:
Mg (0.000, 0.000, 0.771)
Mg (0.000, 0.000, 0.229)
Ce (0.500, 0.500, 0.500)
In (0.500, 0.500, 0.000)



ii.
First-principles (PBE-GGA) data for a relaxed structure of CeMg2In, as listed in Alexandria via LeMat-Bulk.

SG	No. 225
D(E_F)	7.145	states/eV per cell

Cell: 5.154 5.154 5.154 Å, 60.00 60.00 60.00°
Fractional coordinates of all 4 atoms:
Mg (0.750, 0.750, 0.750)
Mg (0.250, 0.250, 0.250)
In (0.500, 0.500, 0.500)
Ce (0.000, 0.000, 0.000)



Result of the stability comparison: ii is the most stable of them.



i.
First-principles (PBE-GGA) data for a relaxed structure of CeMg2In2, as listed in Alexandria via LeMat-Bulk.

SG	No. 139
D(E_F)	8.212	states/eV per cell

Cell: 4.549 4.549 7.113 Å, 108.65 108.65 90.00°
Fractional coordinates of all 5 atoms:
In (0.391, 0.391, 0.782)
In (0.609, 0.609, 0.218)
Ce (0.000, 0.000, 0.000)
Mg (0.250, 0.750, 0.500)
Mg (0.750, 0.250, 0.500)



ii.
First-principles (PBE-GGA) data for a relaxed structure of CeMg2In2, as listed in Alexandria via LeMat-Bulk.

SG	No. 166
D(E_F)	8.333	states/eV per cell

Cell: 4.880 4.881 6.898 Å, 110.77 89.97 119.98°
Fractional coordinates of all 5 atoms:
Mg (0.706, 0.411, 0.617)
Mg (0.294, 0.589, 0.383)
Ce (0.500, 0.000, 0.000)
In (0.915, 0.831, 0.247)
In (0.085, 0.169, 0.753)



Result of the stability comparison: i is the most stable of them.



i.
First-principles (PBE-GGA) data for a relaxed structure of Ce2MgIn3, as listed in Alexandria via LeMat-Bulk.

SG	No. 166
D(E_F)	9.195	states/eV per cell

Cell: 5.817 5.817 5.817 Å, 64.94 64.94 64.94°
Fractional coordinates of all 6 atoms:
Ce (0.605, 0.605, 0.605)
Ce (0.395, 0.395, 0.395)
In (0.000, 0.500, 0.000)
In (0.000, 0.000, 0.500)
In (0.500, 0.000, 0.000)
Mg (0.000, 0.000, 0.000)



ii.
First-principles (PBE-GGA) data for a relaxed structure of Ce2MgIn3, as listed in Alexandria via LeMat-Bulk.

SG	No. 194
D(E_F)	19.569	states/eV per cell

Cell: 6.255 6.255 9.084 Å, 90.00 90.00 120.00°
Fractional coordinates of all 12 atoms:
Ce (0.333, 0.667, 0.907)
Ce (0.667, 0.333, 0.093)
Ce (0.333, 0.667, 0.593)
Ce (0.667, 0.333, 0.407)
In (0.174, 0.826, 0.250)
In (0.652, 0.826, 0.250)
In (0.174, 0.348, 0.250)
In (0.348, 0.174, 0.750)
In (0.826, 0.174, 0.750)
In (0.826, 0.652, 0.750)
Mg (0.000, 0.000, 0.000)
Mg (0.000, 0.000, 0.500)



Result of the stability comparison: ii is the most stable of them.



i.
First-principles (PBE-GGA) data for a relaxed structure of CeSmMgIn, as listed in Alexandria via LeMat-Bulk.

SG	No. 216
D(E_F)	10.198	states/eV per cell

Cell: 5.432 5.432 5.432 Å, 60.00 60.00 60.00°
Fractional coordinates of all 4 atoms:
Mg (0.750, 0.750, 0.750)
Sm (0.000, 0.000, 0.000)
In (0.250, 0.250, 0.250)
Ce (0.500, 0.500, 0.500)



ii.
First-principles (PBE-GGA) data for a relaxed structure of CeSmMgIn, as listed in Alexandria via LeMat-Bulk.

SG	No. 119
D(E_F)	8.079	states/eV per cell

Cell: 4.881 4.881 5.777 Å, 115.00 114.99 90.00°
Fractional coordinates of all 4 atoms:
In (0.250, 0.750, 0.500)
Sm (0.500, 0.500, 0.000)
Mg (0.750, 0.250, 0.500)
Ce (0.000, 0.000, 0.000)



Result of the stability comparison: i is the most stable of them.



i.
First-principles (PBE-GGA) data for a relaxed structure of Ce2MnIn, as listed in Alexandria via LeMat-Bulk.

SG	No. 14
D(E_F)	20.524	states/eV per cell

Cell: 7.141 6.251 8.761 Å, 90.00 90.54 90.00°
Fractional coordinates of all 16 atoms:
Ce (0.207, 0.877, 0.432)
Ce (0.302, 0.326, 0.184)
Ce (0.793, 0.123, 0.568)
Ce (0.698, 0.674, 0.816)
Ce (0.707, 0.623, 0.432)
Ce (0.198, 0.826, 0.816)
Ce (0.802, 0.174, 0.184)
Ce (0.293, 0.377, 0.568)
Mn (0.898, 0.621, 0.631)
Mn (0.602, 0.121, 0.369)
Mn (0.102, 0.379, 0.369)
Mn (0.398, 0.879, 0.631)
In (0.021, 0.311, 0.868)
In (0.521, 0.189, 0.868)
In (0.479, 0.811, 0.132)
In (0.979, 0.689, 0.132)



ii.
First-principles (PBE-GGA) data for a relaxed structure of Ce2MnIn, as listed in Alexandria via LeMat-Bulk.

SG	No. 123
D(E_F)	7.932	states/eV per cell

Cell: 3.226 3.226 8.713 Å, 90.00 90.00 90.00°
Fractional coordinates of all 4 atoms:
In (0.500, 0.500, 0.500)
Ce (0.000, 0.000, 0.196)
Ce (0.000, 0.000, 0.804)
Mn (0.500, 0.500, 0.000)



Result of the stability comparison: i is the most stable of them.



i.
First-principles (PBE-GGA) data for a relaxed structure of NaCeIn, as listed in Alexandria via LeMat-Bulk.

SG	No. 156
D(E_F)	7.636	states/eV per cell

Cell: 3.201 5.438 5.438 Å, 120.00 90.00 90.00°
Fractional coordinates of all 3 atoms:
In (0.832, 0.667, 0.333)
Na (0.835, 0.000, 0.000)
Ce (0.333, 0.333, 0.667)



ii.
First-principles (PBE-GGA) data for a relaxed structure of NaCeIn, as listed in Alexandria via LeMat-Bulk.

SG	No. 69
D(E_F)	15.132	states/eV per cell

Cell: 6.008 5.220 7.663 Å, 76.96 66.92 54.86°
Fractional coordinates of all 6 atoms:
In (0.606, 0.000, 0.789)
In (0.394, 0.000, 0.211)
Ce (0.250, 0.500, 0.500)
Ce (0.750, 0.500, 0.500)
Na (0.834, 0.333, 0.000)
Na (0.166, 0.667, 0.000)



Result of the stability comparison: i is the most stable of them.



i.
First-principles (PBE-GGA) data for a relaxed structure of NaCeIn2, as listed in Alexandria via LeMat-Bulk.

SG	No. 166
D(E_F)	5.168	states/eV per cell

Cell: 3.318 3.318 11.362 Å, 81.60 81.60 60.00°
Fractional coordinates of all 4 atoms:
Ce (0.500, 0.500, 0.500)
In (0.749, 0.749, 0.753)
In (0.251, 0.251, 0.247)
Na (0.000, 0.000, 0.000)



ii.
First-principles (PBE-GGA) data for a relaxed structure of NaCeIn2, as listed in Alexandria via LeMat-Bulk.

SG	No. 123
D(E_F)	7.851	states/eV per cell

Cell: 3.855 5.399 5.399 Å, 90.00 90.00 90.00°
Fractional coordinates of all 4 atoms:
In (0.000, 0.000, 0.500)
In (0.000, 0.500, 0.000)
Ce (0.500, 0.500, 0.500)
Na (0.500, 0.000, 0.000)



Result of the stability comparison: ii is the most stable of them.



i.
First-principles (PBE-GGA) data for a relaxed structure of NaCeInPb, as listed in Alexandria via LeMat-Bulk.

SG	No. 216
D(E_F)	6.463	states/eV per cell

Cell: 5.436 5.436 5.436 Å, 60.00 60.00 60.00°
Fractional coordinates of all 4 atoms:
Na (0.000, 0.000, 0.000)
In (0.250, 0.250, 0.250)
Pb (0.750, 0.750, 0.750)
Ce (0.500, 0.500, 0.500)



ii.
First-principles (PBE-GGA) data for a relaxed structure of NaCeInPb, as listed in Alexandria via LeMat-Bulk.

SG	No. 47
D(E_F)	7.484	states/eV per cell

Cell: 4.458 4.937 5.138 Å, 90.00 90.00 90.00°
Fractional coordinates of all 4 atoms:
In (0.000, 0.500, 0.500)
Pb (0.000, 0.000, 0.000)
Ce (0.500, 0.500, 0.000)
Na (0.500, 0.000, 0.500)



Result of the stability comparison: ii is the most stable of them.



i.
First-principles (PBE-GGA) data for a relaxed structure of Ce3InNi, as listed in Alexandria via LeMat-Bulk.

SG	No. 71
D(E_F)	24.306	states/eV per cell

Cell: 6.896 6.893 6.893 Å, 78.52 59.99 59.99°
Fractional coordinates of all 10 atoms:
In (0.205, 0.795, 0.795)
In (0.795, 0.205, 0.205)
Ce (0.261, 0.293, 0.707)
Ce (0.739, 0.293, 0.707)
Ce (0.802, 0.698, 0.698)
Ce (0.261, 0.707, 0.293)
Ce (0.739, 0.707, 0.293)
Ce (0.198, 0.302, 0.302)
Ni (0.320, 0.000, 0.000)
Ni (0.680, 0.000, 0.000)



ii.
First-principles (PBE-GGA) data for a relaxed structure of Ce3InNi, as listed in Alexandria via LeMat-Bulk.

SG	No. 221
D(E_F)	15.628	states/eV per cell

Cell: 5.242 5.242 5.242 Å, 90.00 90.00 90.00°
Fractional coordinates of all 5 atoms:
Ce (0.000, 0.000, 0.500)
Ce (0.000, 0.500, 0.000)
Ce (0.500, 0.000, 0.000)
Ni (0.000, 0.000, 0.000)
In (0.500, 0.500, 0.500)



Result of the stability comparison: i is the most stable of them.



i.
First-principles (PBE-GGA) data for a relaxed structure of CeIn3Ni, as listed in Alexandria via LeMat-Bulk.

SG	No. 221
D(E_F)	9.821	states/eV per cell

Cell: 4.961 4.961 4.961 Å, 90.00 90.00 90.00°
Fractional coordinates of all 5 atoms:
Ni (0.000, 0.000, 0.000)
In (0.000, 0.000, 0.500)
In (0.500, 0.000, 0.000)
In (0.000, 0.500, 0.000)
Ce (0.500, 0.500, 0.500)



ii.
First-principles (PBE-GGA) data for a relaxed structure of CeIn3Ni, as listed in Alexandria via LeMat-Bulk.

SG	No. 62
D(E_F)	29.000	states/eV per cell

Cell: 4.435 8.925 11.485 Å, 90.00 90.00 90.00°
Fractional coordinates of all 20 atoms:
In (0.250, 0.861, 0.213)
In (0.750, 0.114, 0.202)
In (0.750, 0.614, 0.298)
In (0.750, 0.440, 0.917)
In (0.250, 0.060, 0.417)
In (0.250, 0.560, 0.083)
In (0.250, 0.386, 0.702)
In (0.250, 0.886, 0.798)
In (0.250, 0.361, 0.287)
In (0.750, 0.639, 0.713)
In (0.750, 0.940, 0.583)
In (0.750, 0.139, 0.787)
Ce (0.250, 0.189, 0.995)
Ce (0.250, 0.689, 0.505)
Ce (0.750, 0.811, 0.005)
Ce (0.750, 0.311, 0.495)
Ni (0.250, 0.104, 0.644)
Ni (0.750, 0.896, 0.356)
Ni (0.250, 0.604, 0.856)
Ni (0.750, 0.396, 0.144)



Result of the stability comparison: ii is the most stable of them.



i.
First-principles (PBE-GGA) data for a relaxed structure of Ce2InNi, as listed in Alexandria via LeMat-Bulk.

SG	No. 166
D(E_F)	9.154	states/eV per cell

Cell: 3.761 3.761 8.843 Å, 77.72 77.72 60.00°
Fractional coordinates of all 4 atoms:
In (0.500, 0.500, 0.500)
Ce (0.733, 0.733, 0.800)
Ce (0.267, 0.267, 0.200)
Ni (0.000, 0.000, 0.000)



ii.
First-principles (PBE-GGA) data for a relaxed structure of Ce2InNi, as listed in Alexandria via LeMat-Bulk.

SG	No. 12
D(E_F)	13.019	states/eV per cell

Cell: 3.428 6.958 7.936 Å, 95.08 90.00 104.26°
Fractional coordinates of all 8 atoms:
Ce (0.244, 0.488, 0.694)
Ce (0.068, 0.137, 0.301)
Ce (0.756, 0.512, 0.306)
Ce (0.932, 0.863, 0.699)
In (0.607, 0.214, 0.946)
In (0.393, 0.786, 0.054)
Ni (0.414, 0.829, 0.402)
Ni (0.586, 0.171, 0.598)



Result of the stability comparison: ii is the most stable of them.



i.
First-principles (PBE-GGA) data for a relaxed structure of CeIn2Ni9, as listed in Alexandria via LeMat-Bulk.

SG	No. 127
D(E_F)	38.488	states/eV per cell

Cell: 4.843 8.273 8.273 Å, 90.00 90.00 90.00°
Fractional coordinates of all 24 atoms:
In (0.000, 0.376, 0.876)
In (0.000, 0.624, 0.124)
In (0.000, 0.876, 0.624)
In (0.000, 0.124, 0.376)
Ni (0.500, 0.436, 0.705)
Ni (0.752, 0.677, 0.823)
Ni (0.500, 0.795, 0.064)
Ni (0.248, 0.323, 0.177)
Ni (0.752, 0.177, 0.677)
Ni (0.500, 0.564, 0.295)
Ni (0.500, 0.000, 0.500)
Ni (0.500, 0.205, 0.936)
Ni (0.752, 0.823, 0.323)
Ni (0.500, 0.295, 0.436)
Ni (0.752, 0.323, 0.177)
Ni (0.500, 0.705, 0.564)
Ni (0.248, 0.177, 0.677)
Ni (0.500, 0.064, 0.205)
Ni (0.500, 0.500, 0.000)
Ni (0.248, 0.677, 0.823)
Ni (0.500, 0.936, 0.795)
Ni (0.248, 0.823, 0.323)
Ce (0.000, 0.000, 0.000)
Ce (0.000, 0.500, 0.500)



ii.
First-principles (PBE-GGA) data for a relaxed structure of CeIn2Ni9, as listed in Alexandria via LeMat-Bulk.

SG	No. 166
D(E_F)	15.942	states/eV per cell

Cell: 4.923 4.923 8.403 Å, 72.97 72.97 60.00°
Fractional coordinates of all 12 atoms:
Ni (0.334, 0.334, 0.999)
Ni (0.586, 0.586, 0.747)
Ni (0.414, 0.414, 0.253)
Ni (0.081, 0.586, 0.747)
Ni (0.500, 0.500, 0.500)
Ni (0.919, 0.414, 0.253)
Ni (0.414, 0.919, 0.253)
Ni (0.586, 0.081, 0.747)
Ni (0.666, 0.666, 0.001)
Ce (0.000, 0.000, 0.000)
In (0.141, 0.141, 0.576)
In (0.859, 0.859, 0.424)



Result of the stability comparison: ii is the most stable of them.